Entry from OQMD: crystalline HfTlCuPt at its relaxed geometry (PBE-GGA).

The calculation puts the density at 15.1 Mg/m³. The crystal system is cubic. As for the space-group type: No. 216. As for the total DFT energy (no corrections): -22.42 eV per formula unit.

Lattice parameters (Å, degrees): 4.635 4.635 4.635 60.00 60.00 60.00
Positions (direct):
Cu 0.750 0.750 0.750
Hf 0.000 0.000 0.000
Pt 0.500 0.500 0.500
Tl 0.250 0.250 0.250